DFT (GGA-PBE) results for a relaxed CaTeRh2 crystal.

The structure in extended XYZ format:
```
4
Lattice="3.066 -4.534 0.000 3.066 4.534 0.000 -1.570 0.000 2.764" Properties=species:S:1:pos:R:3 pbc="T T T"
Ca 0.000 0.000 0.000
Te 3.066 0.000 0.000
Rh 0.748 2.267 1.382
Rh 0.748 -2.267 1.382
```

Summary:
**SG**: No. 12
**Total energy**: -5.1024 eV/atom
**Formation energy from raw total energies**: -141 meV per atom
**Density of states at the Fermi level**: 4.288 states/eV/cell
**Volume**: 19.2 Å³/atom

DFT (GGA-PBE) results for a relaxed CaTeRh2 crystal.

The structure in extended XYZ format:
```
8
Lattice="-3.765 3.765 3.092 3.765 -3.765 3.092 3.765 3.765 -3.092" Properties=species:S:1:pos:R:3 pbc="T T T"
Ca 0.000 0.000 0.000
Ca 0.000 3.765 1.546
Te 3.765 0.000 1.546
Te 0.000 0.000 3.092
Rh 1.883 -1.500 2.319
Rh 2.265 1.883 0.773
Rh 1.883 5.265 -0.773
Rh 1.500 1.883 3.865
```

Summary:
**SG**: No. 122
**Total energy**: -5.0953 eV/atom
**Formation energy from raw total energies**: -134 meV per atom
**Density of states at the Fermi level**: 5.033 states/eV/cell
**Volume**: 21.9 Å³/atom

What is the formula in the first record? CaTeRh2